No. 1
Here is an optimized crystal structure of Cd2BiI from the Alexandria database. Energies are from GGA-PBEsol.

Lattice parameters (Å, degrees): 6.6541 6.6541 8.3710 113.42 113.42 90.00
Positions (direct):
Cd 0.6250 0.6574 0.7500
Cd 0.3426 0.8750 0.2500
Cd 0.9074 0.3750 0.2500
Cd 0.1250 0.0926 0.7500
Bi 0.2500 0.7500 0.5000
Bi 0.0000 0.0000 0.0000
I 0.7500 0.2500 0.5000
I 0.5000 0.5000 0.0000

## Properties
* total magnetic moment: 0.0 μB per formula unit

***

No. 2
Here is an optimized crystal structure of CdBiIN2 from the Alexandria database. Energies are from GGA-PBEsol.

Lattice parameters (Å, degrees): 4.3093 4.3093 6.7692 90.00 90.00 90.00
Each line ends with the local moment (μB).
Positions (direct):
I 0.0000 0.0000 0.5000  -0.01
N 0.5000 0.0000 0.0000  0.50
N 0.0000 0.5000 0.0000  0.50
Bi 0.0000 0.0000 0.0000  -0.05
Cd 0.5000 0.5000 0.5000  -0.01

## Properties
* total magnetic moment: 1.3 μB per formula unit

***

No. 3
Here is an optimized crystal structure of CdBiIO2 from the Alexandria database. Energies are from GGA-PBEsol.

Lattice parameters (Å, degrees): 3.9597 3.9597 7.0391 106.34 106.34 90.00
Positions (direct):
Cd 0.1614 0.1614 0.3228
Bi 0.8297 0.8297 0.6594
O 0.2477 0.7477 0.4955
O 0.7477 0.2477 0.4955
I 0.5134 0.5134 0.0268

## Properties
* total magnetic moment: 0.0 μB per formula unit

***

no.,E_tot (eV/atom)
1,-2.196
2,-3.523
3,-4.533